VASP calculation (SCAN) on a PBEsol-optimized structure of La3ZnN.

Calculated values
symmetry: Pnma
size of the total moment: 0.00 μB/atom
raw formation energy: -838 meV/atom
DFT total energy: -1.149 Ha/atom
Fermi-level density of states: 0.461 states/eV per atom

a = 6.998 Å, b = 7.133 Å, c = 9.889 Å
α = 90.00°, β = 90.00°, γ = 90.00°
Fractional coordinates of all 20 atoms:
La: 0.263 0.262 0.458
La: 0.237 0.762 0.042
La: 0.263 0.262 0.042
La: 0.587 0.992 0.250
La: 0.913 0.492 0.250
La: 0.237 0.762 0.458
La: 0.737 0.738 0.542
La: 0.413 0.008 0.750
La: 0.763 0.238 0.958
La: 0.737 0.738 0.958
La: 0.763 0.238 0.542
La: 0.087 0.508 0.750
N: 0.000 0.500 0.000
N: 0.500 0.000 0.500
N: 0.000 0.500 0.500
N: 0.500 0.000 0.000
Zn: 0.484 0.515 0.250
Zn: 0.516 0.485 0.750
Zn: 0.016 0.015 0.250
Zn: 0.984 0.985 0.750

VASP calculation (SCAN) on a PBEsol-optimized structure of Li3Cr.

Calculated values
symmetry: Pmm2
size of the total moment: 1.15 μB/atom
DFT total energy: -0.227 Ha/atom
Fermi-level density of states: 0.404 states/eV per atom
energy of formation: 0.20 eV per atom

a = 2.993 Å, b = 4.749 Å, c = 4.942 Å
α = 90.00°, β = 90.00°, γ = 90.00°
Fractional coordinates of all 4 atoms:
Li: 0.500 0.000 0.486
Li: 0.000 0.500 0.339
Li: 0.500 0.500 0.854
Cr: 0.000 0.000 0.988

VASP calculation (SCAN) on a PBEsol-optimized structure of MnRuI2.

Calculated values
symmetry: Fm-3m
size of the total moment: 0.73 μB/atom
raw formation energy: 719 meV/atom
DFT total energy: -1.136 Ha/atom
Fermi-level density of states: 0.348 states/eV per atom

a = 4.788 Å, b = 4.788 Å, c = 4.788 Å
α = 60.00°, β = 60.00°, γ = 60.00°
Fractional coordinates of all 4 atoms:
Ru: 0.500 0.500 0.500
I: 0.750 0.750 0.750
I: 0.250 0.250 0.250
Mn: 0.000 0.000 0.000

VASP calculation (SCAN) on a PBEsol-optimized structure of NbNiPCl2.

Calculated values
symmetry: P4/mmm
size of the total moment: 0.25 μB/atom
raw formation energy: 201 meV/atom
DFT total energy: -0.549 Ha/atom
Fermi-level density of states: 1.034 states/eV per atom

a = 4.691 Å, b = 4.691 Å, c = 4.971 Å
α = 90.00°, β = 90.00°, γ = 90.00°
Fractional coordinates of all 5 atoms:
Cl: 0.500 0.000 0.000
Cl: 0.000 0.500 0.000
Nb: 0.000 0.000 0.000
Ni: 0.500 0.500 0.500
P: 0.000 0.000 0.500

VASP calculation (SCAN) on a PBEsol-optimized structure of TcAsN2O.

Calculated values
symmetry: P4/mmm
size of the total moment: 0.00 μB/atom
raw formation energy: 465 meV/atom
DFT total energy: -0.571 Ha/atom
Fermi-level density of states: 0.628 states/eV per atom

a = 3.692 Å, b = 3.926 Å, c = 3.926 Å
α = 90.00°, β = 90.00°, γ = 90.00°
Fractional coordinates of all 5 atoms:
N: 0.000 0.500 0.000
N: 0.000 0.000 0.500
Tc: 0.000 0.000 0.000
As: 0.500 0.500 0.500
O: 0.500 0.000 0.000

VASP calculation (SCAN) on a PBEsol-optimized structure of Sr2CdBi.

Calculated values
symmetry: Fm-3m
size of the total moment: 0.00 μB/atom
DFT total energy: -1.435 Ha/atom
Fermi-level density of states: 0.739 states/eV per atom
energy of formation: -0.68 eV per atom

a = 5.716 Å, b = 5.716 Å, c = 5.716 Å
α = 60.00°, β = 60.00°, γ = 60.00°
Fractional coordinates of all 4 atoms:
Sr: 0.750 0.750 0.750
Sr: 0.250 0.250 0.250
Bi: 0.500 0.500 0.500
Cd: 0.000 0.000 0.000

VASP calculation (SCAN) on a PBEsol-optimized structure of CaY2Mg.

Calculated values
symmetry: I-4m2
size of the total moment: 0.12 μB/atom
DFT total energy: -0.642 Ha/atom
Fermi-level density of states: 1.133 states/eV per atom
energy of formation: 0.12 eV per atom

a = 5.009 Å, b = 5.009 Å, c = 5.985 Å
α = 114.74°, β = 114.74°, γ = 90.00°
Fractional coordinates of all 4 atoms:
Y: 0.000 0.000 0.000
Y: 0.750 0.250 0.500
Ca: 0.500 0.500 0.000
Mg: 0.250 0.750 0.500

VASP calculation (SCAN) on a PBEsol-optimized structure of KSe3.

Calculated values
symmetry: Fm-3m
size of the total moment: 0.00 μB/atom
raw formation energy: 143 meV/atom
DFT total energy: -0.625 Ha/atom
Fermi-level density of states: 0.535 states/eV per atom

a = 5.083 Å, b = 5.083 Å, c = 5.083 Å
α = 60.00°, β = 60.00°, γ = 60.00°
Fractional coordinates of all 4 atoms:
Se: 0.500 0.500 0.500
Se: 0.250 0.250 0.250
Se: 0.750 0.750 0.750
K: 0.000 0.000 0.000

VASP calculation (SCAN) on a PBEsol-optimized structure of LaTcTe.

Calculated values
symmetry: I4mm
size of the total moment: 0.00 μB/atom
raw formation energy: -314 meV/atom
DFT total energy: -1.425 Ha/atom
Fermi-level density of states: 0.356 states/eV per atom

a = 3.354 Å, b = 3.354 Å, c = 6.397 Å
α = 105.20°, β = 105.20°, γ = 90.00°
Fractional coordinates of all 3 atoms:
Te: 0.299 0.299 0.599
Tc: 0.689 0.689 0.378
La: 0.012 0.012 0.023

VASP calculation (SCAN) on a PBEsol-optimized structure of LiSb2Rh.

Calculated values
symmetry: C2/m
size of the total moment: 0.00 μB/atom
raw formation energy: -389 meV/atom
DFT total energy: -1.031 Ha/atom
Fermi-level density of states: 0.411 states/eV per atom

a = 3.366 Å, b = 4.390 Å, c = 5.909 Å
α = 101.46°, β = 90.00°, γ = 112.55°
Fractional coordinates of all 4 atoms:
Rh: 0.500 0.000 0.000
Sb: 0.238 0.475 0.222
Sb: 0.762 0.525 0.778
Li: 0.000 0.000 0.500

VASP calculation (SCAN) on a PBEsol-optimized structure of BaScCu2.

Calculated values
symmetry: Pmmm
size of the total moment: 0.00 μB/atom
DFT total energy: -0.760 Ha/atom
Fermi-level density of states: 0.909 states/eV per atom
energy of formation: 0.37 eV per atom

a = 3.494 Å, b = 4.743 Å, c = 5.757 Å
α = 90.00°, β = 90.00°, γ = 90.00°
Fractional coordinates of all 4 atoms:
Cu: 0.000 0.000 0.000
Cu: 0.500 0.500 0.500
Ba: 0.000 0.000 0.500
Sc: 0.500 0.500 0.000

VASP calculation (SCAN) on a PBEsol-optimized structure of Cd2NiAg.

Calculated values
symmetry: P4mm
size of the total moment: 0.00 μB/atom
DFT total energy: -0.992 Ha/atom
Fermi-level density of states: 0.432 states/eV per atom
energy of formation: 0.11 eV per atom

a = 2.967 Å, b = 2.967 Å, c = 7.533 Å
α = 90.00°, β = 90.00°, γ = 90.00°
Fractional coordinates of all 4 atoms:
Cd: 0.500 0.500 0.290
Cd: 0.000 0.000 0.984
Ag: 0.500 0.500 0.719
Ni: 0.000 0.000 0.507

VASP calculation (SCAN) on a PBEsol-optimized structure of Na2SnAu2.

Calculated values
symmetry: P4/mbm
size of the total moment: 0.00 μB/atom
DFT total energy: -1.356 Ha/atom
Fermi-level density of states: 0.332 states/eV per atom
energy of formation: -0.37 eV per atom

a = 4.341 Å, b = 7.177 Å, c = 7.177 Å
α = 90.00°, β = 90.00°, γ = 90.00°
Fractional coordinates of all 10 atoms:
Na: 0.500 0.665 0.835
Na: 0.500 0.835 0.335
Na: 0.500 0.335 0.165
Na: 0.500 0.165 0.665
Sn: 0.000 0.000 0.000
Sn: 0.000 0.500 0.500
Au: 0.000 0.637 0.137
Au: 0.000 0.137 0.363
Au: 0.000 0.363 0.863
Au: 0.000 0.863 0.637

VASP calculation (SCAN) on a PBEsol-optimized structure of Ge2Te2Cl.

Calculated values
symmetry: I4/mmm
size of the total moment: 0.00 μB/atom
raw formation energy: -44 meV/atom
DFT total energy: -0.888 Ha/atom
Fermi-level density of states: 0.315 states/eV per atom

a = 4.837 Å, b = 4.837 Å, c = 6.967 Å
α = 110.31°, β = 110.31°, γ = 90.00°
Fractional coordinates of all 5 atoms:
Cl: 0.000 0.000 0.000
Ge: 0.250 0.750 0.500
Ge: 0.750 0.250 0.500
Te: 0.361 0.361 0.722
Te: 0.639 0.639 0.278

VASP calculation (SCAN) on a PBEsol-optimized structure of SrRe2Tc.

Calculated values
symmetry: C2/m
size of the total moment: 0.00 μB/atom
DFT total energy: -1.806 Ha/atom
Fermi-level density of states: 0.916 states/eV per atom
energy of formation: 0.73 eV per atom

a = 3.013 Å, b = 4.989 Å, c = 5.736 Å
α = 103.49°, β = 90.00°, γ = 107.57°
Fractional coordinates of all 4 atoms:
Tc: 0.500 0.000 0.000
Sr: 0.000 0.000 0.500
Re: 0.215 0.431 0.151
Re: 0.785 0.569 0.849

VASP calculation (SCAN) on a PBEsol-optimized structure of Tc7B3.

Calculated values
symmetry: P6_3mc
size of the total moment: 0.00 μB/atom
DFT total energy: -0.997 Ha/atom
Fermi-level density of states: 0.581 states/eV per atom
energy of formation: -0.35 eV per atom

a = 4.806 Å, b = 7.415 Å, c = 7.415 Å
α = 120.00°, β = 90.00°, γ = 90.00°
Fractional coordinates of all 20 atoms:
Tc: 0.952 0.091 0.545
Tc: 0.745 0.876 0.753
Tc: 0.415 0.333 0.667
Tc: 0.452 0.545 0.455
Tc: 0.452 0.909 0.455
Tc: 0.245 0.124 0.247
Tc: 0.745 0.876 0.124
Tc: 0.245 0.124 0.876
Tc: 0.245 0.753 0.876
Tc: 0.915 0.667 0.333
Tc: 0.952 0.455 0.909
Tc: 0.452 0.545 0.091
Tc: 0.745 0.247 0.124
Tc: 0.952 0.455 0.545
B: 0.160 0.810 0.620
B: 0.660 0.190 0.810
B: 0.660 0.190 0.380
B: 0.160 0.380 0.190
B: 0.660 0.620 0.810
B: 0.160 0.810 0.190

VASP calculation (SCAN) on a PBEsol-optimized structure of LiSe.

Calculated values
symmetry: Pm-3m
size of the total moment: 0.00 μB/atom
raw formation energy: -723 meV/atom
DFT total energy: -0.439 Ha/atom
Fermi-level density of states: 0.439 states/eV per atom

a = 3.241 Å, b = 3.241 Å, c = 3.241 Å
α = 90.00°, β = 90.00°, γ = 90.00°
Fractional coordinates of all 2 atoms:
Se: 0.500 0.500 0.500
Li: 0.000 0.000 0.000

VASP calculation (SCAN) on a PBEsol-optimized structure of LiFeBO3.

Calculated values
symmetry: P2_1/c
size of the total moment: 0.67 μB/atom
raw formation energy: -2052 meV/atom
DFT total energy: -0.361 Ha/atom
Fermi-level density of states: 0.290 states/eV per atom

a = 5.505 Å, b = 6.221 Å, c = 8.501 Å
α = 90.00°, β = 90.00°, γ = 124.31°
Fractional coordinates of all 24 atoms:
O: 0.466 0.212 0.005
O: 0.534 0.788 0.995
O: 0.610 0.157 0.355
O: 0.981 0.115 0.243
O: 0.481 0.615 0.257
O: 0.110 0.657 0.145
O: 0.519 0.385 0.743
O: 0.390 0.843 0.645
O: 0.019 0.885 0.757
O: 0.034 0.288 0.505
O: 0.966 0.712 0.495
O: 0.890 0.343 0.855
B: 0.625 0.315 0.868
B: 0.375 0.685 0.132
B: 0.125 0.815 0.632
B: 0.875 0.185 0.368
Li: 0.311 0.665 0.443
Li: 0.689 0.335 0.557
Li: 0.811 0.165 0.057
Li: 0.189 0.835 0.943
Fe: 0.409 0.255 0.221
Fe: 0.909 0.755 0.279
Fe: 0.091 0.245 0.721
Fe: 0.591 0.745 0.779

VASP calculation (SCAN) on a PBEsol-optimized structure of Na3HS.

Calculated values
symmetry: Pm-3m
size of the total moment: 0.00 μB/atom
DFT total energy: -0.219 Ha/atom
Fermi-level density of states: 0.000 states/eV per atom

a = 4.372 Å, b = 4.372 Å, c = 4.372 Å
α = 90.00°, β = 90.00°, γ = 90.00°
Fractional coordinates of all 5 atoms:
Na: 0.000 0.500 0.000
Na: 0.000 0.000 0.500
Na: 0.500 0.000 0.000
H: 0.000 0.000 0.000
S: 0.500 0.500 0.500

VASP calculation (SCAN) on a PBEsol-optimized structure of ZrAlAg.

Calculated values
symmetry: I4mm
size of the total moment: 0.00 μB/atom
DFT total energy: -0.867 Ha/atom
Fermi-level density of states: 0.517 states/eV per atom
energy of formation: -0.33 eV per atom

a = 3.035 Å, b = 3.035 Å, c = 6.148 Å
α = 104.29°, β = 104.29°, γ = 90.00°
Fractional coordinates of all 3 atoms:
Ag: 0.985 0.985 0.970
Al: 0.342 0.342 0.683
Zr: 0.673 0.673 0.347